Record 1
Entry from Alexandria: a geometry-optimized Cs2BeSnCl6 structure (PBE).

Cell lengths 7.2852, 7.2852, 7.3997 Å; angles 60.51, 60.51, 90.00 degrees
Atoms (fractional coordinates):
Cl 0.7351 0.7351 0.5297
Cl 0.2783 0.7217 0.0000
Sn 0.0000 0.0000 0.0000
Cl 0.7217 0.2783 0.0000
Cl 0.7217 0.7217 0.0000
Cl 0.2649 0.2649 0.4703
Be 0.5000 0.5000 0.0000
Cl 0.2783 0.2783 0.0000
Cs 0.7500 0.2500 0.5000
Cs 0.2500 0.7500 0.5000

Values from the calculation:
- E_form (uncorrected): -14.19 eV/f.u.
- Fermi-level density of states: 0.000 states/eV per cell
- E: -34.70 eV for the cell shown
- Space-group type: I4/mmm (139)

***

Record 2
Entry from Alexandria: a geometry-optimized TbTh3Al8 structure (PBE).

Cell lengths 5.6819, 5.6819, 9.8046 Å; angles 73.16, 73.16, 60.00 degrees
Atoms (fractional coordinates):
Al 0.9379 0.9379 0.6861
Tb 0.8750 0.8750 0.3750
Al 0.4374 0.4374 0.1887
Th 0.0001 0.0001 0.9998
Al 0.4380 0.9379 0.6861
Al 0.9364 0.4374 0.1887
Al 0.6870 0.6870 0.9389
Al 0.1878 0.1878 0.4366
Th 0.3747 0.3747 0.8759
Al 0.9379 0.4380 0.6861
Th 0.5002 0.5002 0.4993
Al 0.4374 0.9364 0.1887

Values from the calculation:
- Fermi-level density of states: 8.205 states/eV per cell
- E: -62.06 eV for the cell shown
- Space-group type: R3m (160)
- ΔE_f: -5.23 eV/f.u.